No. 1
Computed, not measured: Li3NdPt2 after structural relaxation at the GGA-PBE level of DFT.

Cell and atoms, written as CIF:
```
data_Li3NdPt2
_chemical_formula_sum 'Li12 Nd4 Pt8'
_cell_length_a 13.867
_cell_length_b 4.195
_cell_length_c 8.350
_cell_angle_alpha 90.00
_cell_angle_beta 117.88
_cell_angle_gamma 90.00
_symmetry_space_group_name_H-M 'C 1 2/m 1'
_symmetry_Int_Tables_number 12
loop_
_symmetry_equiv_pos_as_xyz
'x,y,z'
'-x,-y,-z'
'-x,y,-z'
'x,-y,z'
'x+1/2,y+1/2,z'
'-x+1/2,-y+1/2,-z'
'-x+1/2,y+1/2,-z'
'x+1/2,-y+1/2,z'
loop_
_atom_site_label
_atom_site_type_symbol
_atom_site_fract_x
_atom_site_fract_y
_atom_site_fract_z
_atom_site_occupancy
Li1 Li 0.060 0.000 0.392 1
Li2 Li 0.084 0.500 0.685 1
Li3 Li 0.214 0.500 0.535 1
Nd1 Nd 0.137 0.000 0.022 1
Pt1 Pt 0.057 0.500 0.191 1
Pt2 Pt 0.210 0.000 0.733 1
```

Summary:
Fermi-level density of states ... 7.1 states/eV/cell
ΔE_f ... -660 meV per atom


No. 2
Computed, not measured: CdCu2Rh2 after structural relaxation at the GGA-PBE level of DFT.

Cell and atoms, written as CIF:
```
data_CdCu2Rh2
_chemical_formula_sum 'Cd2 Cu4 Rh4'
_cell_length_a 3.658
_cell_length_b 3.658
_cell_length_c 12.006
_cell_angle_alpha 90.00
_cell_angle_beta 90.00
_cell_angle_gamma 90.00
_symmetry_space_group_name_H-M 'I 4/m m m'
_symmetry_Int_Tables_number 139
_symmetry_space_group_name_Hall '-I 4 2'
loop_
_atom_site_label
_atom_site_type_symbol
_atom_site_fract_x
_atom_site_fract_y
_atom_site_fract_z
_atom_site_occupancy
Cd1 Cd 0.000 0.000 0.000 1
Cu1 Cu 0.000 0.000 0.401 1
Rh1 Rh 0.000 0.500 0.250 1
```

Summary:
Energy above the most stable polymorph in this dataset ... 193.5 meV/atom
Fermi-level density of states ... 11.5 states/eV/cell
ΔE_f ... 320 meV per atom


Ordered calculated total energy results: -4.425, -4.442; unit eV per atom.